--- i ---
Li2TiH: relaxed, PBE.

The structure belongs to space group Fm-3m (No. 225); the cell edges are 6.076, 6.076 and 6.076 Å and the angles 90.00°, 90.00° and 90.00°. The inequivalent atoms are Li at (0.250, 0.250, 0.250), Ti at (0.000, 0.000, 0.000) and H at (0.000, 0.000, 0.500).

The value obtained for the volume is 14.0 Å³ per atom.

--- ii ---
Li2TiH: relaxed, PBE.

The structure belongs to space group I-42d (No. 122); the cell edges are 5.447, 5.447 and 7.676 Å and the angles 90.00°, 90.00° and 90.00°. The inequivalent atoms are Li at (0.001, 0.250, 0.125), Ti at (0.000, 0.000, 0.500) and H at (0.000, 0.000, 0.000).

The value obtained for the volume is 14.2 Å³ per atom.

Stability ranking, top and bottom: ii is the most stable and i is the least stable.

--- i ---
LiTiZnH: relaxed, PBE.

The structure belongs to space group I4mm (No. 107); the cell edges are 2.857, 2.857 and 11.759 Å and the angles 90.00°, 90.00° and 90.00°. The inequivalent atoms are Li at (0.000, 0.000, 0.000), Ti at (0.000, 0.000, 0.689), Zn at (0.000, 0.000, 0.342) and H at (0.000, 0.000, 0.518).

The value obtained for the volume is 12.0 Å³ per atom.

--- ii ---
LiTiZnH: relaxed, PBE.

The structure belongs to space group Pmm2 (No. 25); the cell edges are 3.074, 3.781 and 4.574 Å and the angles 90.00°, 90.00° and 90.00°. The inequivalent atoms are Li at (0.000, 0.000, 0.000), Ti at (0.000, 0.500, 0.520), Zn at (0.500, 0.500, 0.034) and H at (0.000, 0.000, 0.606).

The value obtained for the volume is 13.3 Å³ per atom.

Stability ranking, top and bottom: i is the most stable and ii is the least stable.

--- i ---
LiTiZnH: relaxed, PBE.

The structure belongs to space group R3m (No. 160, hexagonal axes); the cell edges are 2.8441, 2.8441 and 21.3262 Å and the angles 90.00°, 90.00° and 120.00°. The inequivalent atoms are Li at (0.0000, 0.0000, 0.0000), Ti at (0.0000, 0.0000, 0.5450), Zn at (0.0000, 0.0000, 0.7713) and H at (0.0000, 0.0000, 0.2643).

The value obtained for the volume is 12.4 Å³ per atom.

--- ii ---
LiTiZnH: relaxed, PBE.

The structure belongs to space group Imm2 (No. 44); the cell edges are 2.922, 2.956 and 11.570 Å and the angles 90.00°, 90.00° and 90.00°. The inequivalent atoms are Li at (0.000, 0.000, 0.000), Ti at (0.000, 0.000, 0.696), Zn at (0.000, 0.000, 0.346) and H at (0.000, 0.500, 0.092).

The value obtained for the volume is 12.5 Å³ per atom.

--- iii ---
LiTiZnH: relaxed, PBE.

The structure belongs to space group Cm (No. 8); the cell edges are 8.272, 4.161 and 2.916 Å and the angles 90.00°, 96.12° and 90.00°. The inequivalent atoms are Li at (0.000, 0.000, 0.000), Ti at (0.180, 0.500, 0.588), Zn at (0.321, 0.000, 0.168) and H at (0.044, 0.500, 0.053).

The value obtained for the volume is 12.5 Å³ per atom.

Stability ranking, top and bottom: i is the most stable and iii is the least stable.

--- i ---
LiTiZnH: relaxed, PBE.

The structure belongs to space group I4mm (No. 107); the cell edges are 2.750, 2.750 and 12.721 Å and the angles 90.00°, 90.00° and 90.00°. The inequivalent atoms are Li at (0.000, 0.000, 0.000), Ti at (0.000, 0.000, 0.690), Zn at (0.000, 0.000, 0.353) and H at (0.000, 0.000, 0.146).

The value obtained for the volume is 12.0 Å³ per atom.

--- ii ---
LiTiZnH: relaxed, PBE.

The structure belongs to space group Amm2 (No. 38); the cell edges are 3.037, 3.995 and 7.820 Å and the angles 90.00°, 90.00° and 90.00°. The inequivalent atoms are Li at (0.000, 0.000, 0.000), Ti at (0.500, 0.000, 0.339), Zn at (0.000, 0.000, 0.663) and H at (0.500, 0.000, 0.874).

The value obtained for the volume is 11.9 Å³ per atom.

--- iii ---
LiTiZnH: relaxed, PBE.

The structure belongs to space group P1 (No. 1); the cell edges are 2.721, 2.860 and 7.326 Å and the angles 79.84°, 89.86° and 61.68°. The inequivalent atoms are Li at (0.000, 0.000, 0.000), Ti at (0.178, 0.650, 0.641), Zn at (0.400, 0.212, 0.316) and H at (0.552, 0.901, 0.805).

The value obtained for the volume is 12.3 Å³ per atom.

Stability ranking, top and bottom: i is the most stable and ii is the least stable.

--- i ---
LiTl2H: relaxed, PBE.

The structure belongs to space group I-42d (No. 122); the cell edges are 7.432, 7.432 and 5.988 Å and the angles 90.00°, 90.00° and 90.00°. The inequivalent atoms are Li at (0.000, 0.000, 0.000), Tl at (0.168, 0.250, 0.625) and H at (0.000, 0.000, 0.500).

The value obtained for the volume is 20.7 Å³ per atom.

--- ii ---
LiTl2H: relaxed, PBE.

The structure belongs to space group Fm-3m (No. 225); the cell edges are 6.817, 6.817 and 6.817 Å and the angles 90.00°, 90.00° and 90.00°. The inequivalent atoms are Li at (0.000, 0.000, 0.000), Tl at (0.250, 0.250, 0.250) and H at (0.000, 0.000, 0.500).

The value obtained for the volume is 19.8 Å³ per atom.

Stability ranking, top and bottom: i is the most stable and ii is the least stable.

--- i ---
Li2TlH: relaxed, PBE.

The structure belongs to space group R-3m (No. 166, hexagonal axes); the cell edges are 3.2040, 3.2040 and 21.3785 Å and the angles 90.00°, 90.00° and 120.00°. The inequivalent atoms are Li at (0.0000, 0.0000, 0.2190), Tl at (0.0000, 0.0000, 0.0000) and H at (0.0000, 0.0000, 0.5000).

The value obtained for the volume is 15.8 Å³ per atom.

--- ii ---
Li2TlH: relaxed, PBE.

The structure belongs to space group Fm-3m (No. 225); the cell edges are 6.460, 6.460 and 6.460 Å and the angles 90.00°, 90.00° and 90.00°. The inequivalent atoms are Li at (0.250, 0.250, 0.250), Tl at (0.000, 0.000, 0.000) and H at (0.000, 0.000, 0.500).

The value obtained for the volume is 16.8 Å³ per atom.

Stability ranking, top and bottom: i is the most stable and ii is the least stable.